Entry 1:
Computed, not measured: CrIrPt after structural relaxation at the PBE level of DFT.

a b c (Å): 2.7111 2.7111 6.6317
angles (deg): 90.00 90.00 120.00
Fractional coordinates of all 3 atoms:
Cr 0.0000 0.0000 0.0000
Ir 0.3333 0.6667 0.3042
Pt 0.6667 0.3333 0.6757

The excess energy over the best structure of this formula in the dataset is 0.085 eV per atom.



Entry 2:
Computed, not measured: NaAcTbAl after structural relaxation at the PBE level of DFT.

a b c (Å): 5.5413 5.5413 5.5413
angles (deg): 60.00 60.00 60.00
Fractional coordinates of all 4 atoms:
Na 0.0000 0.0000 0.0000
Ac 0.7500 0.7500 0.7500
Tb 0.2500 0.2500 0.2500
Al 0.5000 0.5000 0.5000

The calculation puts the total energy at -13.820 eV per cell.